Density functional theory data (GGA-PBE) for a relaxed structure of NbPtN3.

Summary:
The calculation puts the density at 8.2 g/cm3. For the total DFT energy (no corrections), the calculation gives -35.125 eV per cell. Its space-group type is No. 221. The calculation puts the energy relative to the elements, uncorrected at 1.192 eV per atom. The calculation puts the magnetic moment at 1.65 Bohr magnetons per cell.

a b c (Å): 4.053 4.053 4.053
angles (deg): 90.00 90.00 90.00
Sites, in units of the cell vectors:
Nb 0.000 0.000 0.000
Pt 0.500 0.500 0.500
N 0.000 0.000 0.500
N 0.000 0.500 0.000
N 0.500 0.000 0.000